Material: In8Sn2Pb
Method: DFT, PBE
State: relaxed

Cell lengths 5.723, 6.309, 9.399 Å; angles 109.61, 100.08, 90.00 degrees
Fractional coordinates of all 11 atoms:
In: 0.526 0.337 0.181
In: 0.474 0.157 0.819
In: 0.949 0.809 0.618
In: 0.051 0.191 0.382
In: 0.526 0.843 0.181
In: 0.474 0.663 0.819
In: 0.010 0.591 0.183
In: 0.990 0.409 0.817
Sn: 0.412 0.742 0.484
Sn: 0.588 0.258 0.516
Pb: 0.000 0.000 0.000

Computed properties:
Uncorrected energy   -33.108 eV for the cell shown
Space group   No. 12
Density of states at the Fermi level   4.896 states/eV per cell
Energy of formation from the pure elements   0.047 eV per atom

=====

Material: CePu2Ge2Ir
Method: DFT, PBE
State: relaxed

Cell lengths 3.678, 3.678, 10.869 Å; angles 99.74, 99.74, 90.00 degrees
Fractional coordinates of all 6 atoms:
Ce: 0.500 0.500 0.000
Pu: 0.250 0.750 0.500
Pu: 0.750 0.250 0.500
Ge: 0.646 0.646 0.292
Ge: 0.354 0.354 0.708
Ir: 0.000 0.000 0.000

Computed properties:
Uncorrected energy   -49.597 eV for the cell shown
Space group   No. 139
Density of states at the Fermi level   10.253 states/eV per cell
Energy of formation from the pure elements   0.516 eV per atom

=====

Material: Tl5Pb3Br12
Method: DFT, PBE
State: relaxed

Cell lengths 16.036, 16.036, 16.036 Å; angles 109.47, 109.47, 109.47 degrees
Fractional coordinates of all 80 atoms:
Pb: 0.750 0.375 0.125
Pb: 0.875 0.750 0.125
Pb: 0.375 0.750 0.625
Pb: 0.250 0.125 0.375
Pb: 0.875 0.125 0.250
Pb: 0.375 0.625 0.250
Pb: 0.625 0.375 0.750
Pb: 0.125 0.875 0.750
Pb: 0.750 0.875 0.625
Pb: 0.625 0.250 0.375
Pb: 0.125 0.250 0.875
Pb: 0.250 0.625 0.875
Tl: 0.125 0.375 0.250
Tl: 0.000 0.500 0.000
Tl: 0.000 0.000 0.000
Tl: 0.375 0.250 0.125
Tl: 0.500 0.000 0.500
Tl: 0.500 0.500 0.000
Tl: 0.125 0.750 0.375
Tl: 0.750 0.125 0.875
Tl: 0.750 0.625 0.375
Tl: 0.375 0.125 0.750
Tl: 0.625 0.875 0.250
Tl: 0.500 0.500 0.500
Tl: 0.500 0.000 0.000
Tl: 0.000 0.000 0.500
Tl: 0.250 0.375 0.625
Tl: 0.250 0.875 0.125
Tl: 0.000 0.500 0.500
Tl: 0.875 0.250 0.625
Tl: 0.625 0.750 0.875
Tl: 0.875 0.625 0.750
Br: 0.733 0.131 0.064
Br: 0.330 0.564 0.433
Br: 0.936 0.369 0.267
Br: 0.564 0.233 0.131
Br: 0.602 0.733 0.670
Br: 0.936 0.567 0.170
Br: 0.330 0.767 0.398
Br: 0.067 0.898 0.131
Br: 0.567 0.936 0.670
Br: 0.733 0.602 0.170
Br: 0.767 0.436 0.369
Br: 0.830 0.933 0.064
Br: 0.131 0.733 0.564
Br: 0.369 0.433 0.102
Br: 0.102 0.933 0.369
Br: 0.398 0.131 0.567
Br: 0.102 0.170 0.233
Br: 0.436 0.670 0.067
Br: 0.830 0.898 0.267
Br: 0.131 0.398 0.067
Br: 0.369 0.936 0.767
Br: 0.567 0.631 0.398
Br: 0.933 0.830 0.564
Br: 0.767 0.330 0.898
Br: 0.433 0.369 0.602
Br: 0.067 0.170 0.436
Br: 0.233 0.670 0.102
Br: 0.170 0.102 0.733
Br: 0.631 0.064 0.233
Br: 0.869 0.602 0.933
Br: 0.564 0.330 0.933
Br: 0.602 0.869 0.433
Br: 0.898 0.830 0.767
Br: 0.898 0.067 0.631
Br: 0.869 0.267 0.436
Br: 0.170 0.067 0.936
Br: 0.631 0.567 0.898
Br: 0.433 0.064 0.330
Br: 0.267 0.398 0.830
Br: 0.233 0.564 0.631
Br: 0.933 0.102 0.869
Br: 0.670 0.233 0.602
Br: 0.436 0.767 0.869
Br: 0.064 0.433 0.830
Br: 0.398 0.267 0.330
Br: 0.064 0.631 0.733
Br: 0.670 0.436 0.567
Br: 0.267 0.869 0.936

Computed properties:
Uncorrected energy   -228.399 eV for the cell shown
Uncorrected formation energy   -0.70 eV per atom
Space group   No. 230
Density of states at the Fermi level   44.212 states/eV per cell
Energy above the most stable polymorph in this dataset   12.74 kJ per mole of atoms

=====

Material: InBRuPt2
Method: DFT, PBE
State: relaxed

Cell lengths 4.250, 4.250, 4.150 Å; angles 90.00, 90.00, 90.00 degrees
Fractional coordinates of all 5 atoms:
Ru: 0.000 0.000 0.500
B: 0.000 0.000 0.000
Pt: 0.000 0.500 0.000
Pt: 0.500 0.000 0.000
In: 0.500 0.500 0.500

Computed properties:
Uncorrected energy   -31.978 eV for the cell shown
Space group   No. 123
Density of states at the Fermi level   1.298 states/eV per cell
Energy of formation from the pure elements   -0.241 eV per atom

=====

Material: HoHfCo10
Method: DFT, PBE
State: relaxed

Cell lengths 3.961, 4.814, 8.349 Å; angles 90.00, 90.00, 90.00 degrees
Fractional coordinates of all 12 atoms:
Ho: 0.000 0.000 0.000
Hf: 0.000 0.500 0.500
Co: 0.000 0.000 0.342
Co: 0.000 0.500 0.822
Co: 0.000 0.500 0.178
Co: 0.000 0.000 0.658
Co: 0.500 0.000 0.500
Co: 0.500 0.500 0.000
Co: 0.500 0.254 0.256
Co: 0.500 0.746 0.744
Co: 0.500 0.746 0.256
Co: 0.500 0.254 0.744

Computed properties:
Uncorrected energy   -87.028 eV for the cell shown
Space group   No. 47
Density of states at the Fermi level   17.126 states/eV per cell
Energy of formation from the pure elements   -0.120 eV per atom

=====

Material: Cs2RbCdBr
Method: DFT, PBE
State: relaxed

Cell lengths 7.070, 7.070, 6.693 Å; angles 90.00, 90.00, 90.00 degrees
Fractional coordinates of all 5 atoms:
Cs: 0.000 0.500 0.000
Cs: 0.500 0.000 0.000
Br: 0.000 0.000 0.000
Rb: 0.000 0.000 0.500
Cd: 0.500 0.500 0.500

Computed properties:
Uncorrected energy   -8.253 eV for the cell shown
Uncorrected formation energy   -0.60 eV per atom
Space group   No. 123
Density of states at the Fermi level   4.147 states/eV per cell